## Dy3AuSe6 (PBE)

Data for a relaxed Dy3AuSe6 crystal.

```
10
Lattice="4.357 0.000 0.000 0.934 6.997 0.000 1.791 -0.040 8.641" Properties=species:S:1:pos:R:3 pbc="T T T"
Au 0.000 0.000 0.000
Dy 3.633 3.123 1.981
Dy 0.896 -0.020 4.321
Dy 3.449 3.834 6.660
Se 1.474 4.688 0.868
Se 1.393 1.137 1.784
Se 4.008 5.111 4.052
Se 3.074 1.846 4.589
Se 5.689 5.820 6.857
Se 5.607 2.270 7.773
```

Calculated values
Size of the total moment, μB per cell: 0.0
ρ, g/cm3: 7.30
SG: No. 2
VASP energy, eV/atom: -5.15